{
  "formula": "TbPmIrI",
  "functional": "PBE-GGA",
  "state": "optimized geometry",
  "cell": [[4.1637, 0.0000, 0.0000], [-2.0818, 3.6059, 0.0000], [0.0000, 0.0000, 24.0354]],
  "species": ["Tb", "Tb", "Tb", "Pm", "Pm", "Pm", "Ir", "Ir", "Ir", "I", "I", "I"],
  "fractional_positions": [[0.0000, 0.0000, 0.0000], [0.3333, 0.6667, 0.6667], [0.6667, 0.3333, 0.3333], [0.0000, 0.0000, 0.7871], [0.3333, 0.6667, 0.4538], [0.6667, 0.3333, 0.1204], [0.0000, 0.0000, 0.3917], [0.3333, 0.6667, 0.0584], [0.6667, 0.3333, 0.7251], [0.0000, 0.0000, 0.5629], [0.3333, 0.6667, 0.2296], [0.6667, 0.3333, 0.8962]],
  "e_form_raw_ev_per_atom": -0.9618,
  "space_group": "R3m (160)",
  "n_ef_per_ev_fu": 0.702,
  "density_g_cm3": 8.6
}

{
  "formula": "Pm8TcIr3I4",
  "functional": "PBE-GGA",
  "state": "optimized geometry",
  "cell": [[4.1699, 2.4075, 8.0985], [-4.1699, 2.4075, 8.0985], [0.0000, -4.8150, 8.0985]],
  "species": ["Pm", "Pm", "Pm", "Pm", "Pm", "Pm", "Pm", "Pm", "Tc", "Ir", "Ir", "Ir", "I", "I", "I", "I"],
  "fractional_positions": [[0.2272, 0.2272, 0.2272], [0.2344, 0.7261, 0.7261], [0.2739, 0.2739, 0.7656], [0.2739, 0.7656, 0.2739], [0.7261, 0.2344, 0.7261], [0.7261, 0.7261, 0.2344], [0.7656, 0.2739, 0.2739], [0.7728, 0.7728, 0.7728], [0.5000, 0.5000, 0.5000], [0.0000, 0.0000, 0.5000], [0.0000, 0.5000, 0.0000], [0.5000, 0.0000, 0.0000], [0.0000, 0.0000, 0.0000], [0.0000, 0.5000, 0.5000], [0.5000, 0.0000, 0.5000], [0.5000, 0.5000, 0.0000]],
  "e_form_raw_ev_per_atom": -0.7912,
  "space_group": "R-3m (166)",
  "n_ef_per_ev_fu": 7.483,
  "density_g_cm3": 8.0
}

{
  "formula": "Pm6TlIr2I3",
  "functional": "PBE-GGA",
  "state": "optimized geometry",
  "cell": [[10.2036, -2.1086, 0.0000], [10.2036, 2.1086, 0.0000], [-3.1175, 0.0000, 9.0133]],
  "species": ["Pm", "Pm", "Pm", "Pm", "Pm", "Pm", "Tl", "Ir", "Ir", "I", "I", "I"],
  "fractional_positions": [[0.0281, 0.0281, 0.2560], [0.3160, 0.3160, 0.4426], [0.3363, 0.3363, 0.8567], [0.6637, 0.6637, 0.1433], [0.6840, 0.6840, 0.5574], [0.9719, 0.9719, 0.7440], [0.5000, 0.5000, 0.0000], [0.1705, 0.1705, 0.3461], [0.8295, 0.8295, 0.6539], [0.1628, 0.1628, 0.8416], [0.5000, 0.5000, 0.5000], [0.8372, 0.8372, 0.1584]],
  "e_form_raw_ev_per_atom": -0.8496,
  "space_group": "C2/m (12)",
  "n_ef_per_ev_fu": 6.316,
  "density_g_cm3": 7.9
}